No. 1
Here is a geometry-optimized AgSbN2 structure from Alexandria via LeMat-Bulk. Energies are from PBE-GGA.

- Space-group type: R-3m, No. 166

abc: 3.3446 3.3446 19.0127
angles: 90.00 90.00 120.00
Atoms (fractional coordinates):
Ag  0.0000  0.0000  0.0000
Ag  0.3333  0.6667  0.6667
Ag  0.6667  0.3333  0.3333
Sb  0.0000  0.0000  0.5000
Sb  0.3333  0.6667  0.1667
Sb  0.6667  0.3333  0.8333
N  0.0000  0.0000  0.3883
N  0.0000  0.0000  0.6117
N  0.3333  0.6667  0.0550
N  0.3333  0.6667  0.2784
N  0.6667  0.3333  0.7216
N  0.6667  0.3333  0.9450

No. 2
Here is a geometry-optimized AgSbN3 structure from Alexandria via LeMat-Bulk. Energies are from PBE-GGA.

- Space-group type: Pm-3m, No. 221

abc: 4.0819 4.0819 4.0819
angles: 90.00 90.00 90.00
Atoms (fractional coordinates):
Ag  0.0000  0.0000  0.0000
Sb  0.5000  0.5000  0.5000
N  0.0000  0.5000  0.5000
N  0.5000  0.0000  0.5000
N  0.5000  0.5000  0.0000

No. 3
Here is a geometry-optimized AgSbN2 structure from Alexandria via LeMat-Bulk. Energies are from PBE-GGA.

- Space-group type: R-3m, No. 166

abc: 3.2318 3.2318 19.2726
angles: 90.00 90.00 120.00
Atoms (fractional coordinates):
Ag  0.0000  0.0000  0.0000
Ag  0.3333  0.6667  0.6667
Ag  0.6667  0.3333  0.3333
Sb  0.0000  0.0000  0.5000
Sb  0.3333  0.6667  0.1667
Sb  0.6667  0.3333  0.8333
N  0.0000  0.0000  0.1103
N  0.0000  0.0000  0.8897
N  0.3333  0.6667  0.5564
N  0.3333  0.6667  0.7769
N  0.6667  0.3333  0.2231
N  0.6667  0.3333  0.4436

No. 4
Here is a geometry-optimized AgSbN3 structure from Alexandria via LeMat-Bulk. Energies are from PBE-GGA.

- Space-group type: Pm-3m, No. 221

abc: 4.0809 4.0809 4.0809
angles: 90.00 90.00 90.00
Atoms (fractional coordinates):
Ag  0.0000  0.0000  0.0000
Sb  0.5000  0.5000  0.5000
N  0.0000  0.0000  0.5000
N  0.0000  0.5000  0.0000
N  0.5000  0.0000  0.0000

No. 5
Here is a geometry-optimized Ag3SbN structure from Alexandria via LeMat-Bulk. Energies are from PBE-GGA.

- Energy relative to the lowest polymorph listed for this composition: 0 meV per atom
- Space-group type: Pm-3m, No. 221

abc: 4.5059 4.5059 4.5059
angles: 90.00 90.00 90.00
Atoms (fractional coordinates):
Ag  0.0000  0.0000  0.5000
Ag  0.0000  0.5000  0.0000
Ag  0.5000  0.0000  0.0000
Sb  0.5000  0.5000  0.5000
N  0.0000  0.0000  0.0000

No. 6
Here is a geometry-optimized AgSb2N structure from Alexandria via LeMat-Bulk. Energies are from PBE-GGA.

- Space-group type: I-42d, No. 122

abc: 5.8710 5.8710 10.7705
angles: 90.00 90.00 90.00
Atoms (fractional coordinates):
Ag  0.0000  0.0000  0.0000
Ag  0.0000  0.5000  0.2500
Ag  0.5000  0.0000  0.7500
Ag  0.5000  0.5000  0.5000
Sb  0.1848  0.2500  0.6250
Sb  0.2500  0.6848  0.8750
Sb  0.2500  0.8152  0.3750
Sb  0.3152  0.2500  0.1250
Sb  0.6848  0.7500  0.1250
Sb  0.7500  0.1848  0.3750
Sb  0.7500  0.3152  0.8750
Sb  0.8152  0.7500  0.6250
N  0.0000  0.0000  0.5000
N  0.0000  0.5000  0.7500
N  0.5000  0.0000  0.2500
N  0.5000  0.5000  0.0000

No. 7
Here is a geometry-optimized Ag3SbN structure from Alexandria via LeMat-Bulk. Energies are from PBE-GGA.

- Energy relative to the lowest polymorph listed for this composition: 595 meV per atom
- Space-group type: Pm-3m, No. 221

abc: 5.3285 5.3285 5.3285
angles: 90.00 90.00 90.00
Atoms (fractional coordinates):
Ag  0.0000  0.0000  0.5000
Ag  0.0000  0.5000  0.0000
Ag  0.5000  0.0000  0.0000
Sb  0.0000  0.0000  0.0000
N  0.5000  0.5000  0.5000

No. 8
Here is a geometry-optimized ScAgSb2N structure from Alexandria via LeMat-Bulk. Energies are from PBE-GGA.

- Space-group type: P4/mmm, No. 123

abc: 5.5365 5.5365 3.8359
angles: 90.00 90.00 90.00
Atoms (fractional coordinates):
Sc  0.0000  0.0000  0.0000
Ag  0.5000  0.5000  0.5000
Sb  0.0000  0.5000  0.5000
Sb  0.5000  0.0000  0.5000
N  0.5000  0.5000  0.0000

Number 1: M_tot 0.000 μB/atom, density of states at the Fermi level 0.4492 states/eV per atom, formation energy from raw total energies 1.3226 eV/atom. Number 2: M_tot 0.601 μB/atom, density of states at the Fermi level 0.2359 states/eV per atom, formation energy from raw total energies 1.6777 eV/atom. Number 3: M_tot 0.000 μB/atom, density of states at the Fermi level 0.0051 states/eV per atom, formation energy from raw total energies 0.5051 eV/atom. Number 4: M_tot 0.466 μB/atom, density of states at the Fermi level 0.6377 states/eV per atom, formation energy from raw total energies 2.1988 eV/atom. Number 5: M_tot 0.000 μB/atom, density of states at the Fermi level 0.9919 states/eV per atom, formation energy from raw total energies 0.6941 eV/atom. Number 6: M_tot 0.000 μB/atom, density of states at the Fermi level 0.2274 states/eV per atom, formation energy from raw total energies 0.5311 eV/atom. Number 7: M_tot 0.600 μB/atom, density of states at the Fermi level 0.0000 states/eV per atom, formation energy from raw total energies 1.2889 eV/atom. Number 8: M_tot 0.000 μB/atom, density of states at the Fermi level 0.7151 states/eV per atom, formation energy from raw total energies 0.7716 eV/atom.